Entry from Alexandria: MnAgPtO6 after structural relaxation (PBE with a Hubbard U).

Calculated values
Total DFT energy (no corrections) in eV/cell: -101.58

abc: 5.1390 5.1390 9.2271
angles: 90.00 90.00 120.00
Space group P-31c (No. 163)
One atom of each set of equivalent atoms:
Mn1 0.3333 0.6667 0.2500 [2 per cell]
Ag1 0.0000 0.0000 0.0000 [2 per cell]
Pt1 0.3333 0.6667 0.7500 [2 per cell]
O1 0.0073 0.3713 0.1336 [12 per cell]